Computed, not measured: a relaxed structure of ScGeAuSe3 at the PBE level of DFT.

abc: 3.851 7.000 10.420
angles: 90.00 90.00 74.03
Element x y z (fractional)
Au1 0.535 0.931 0.250
Au2 0.465 0.069 0.750
Ge1 0.195 0.610 0.250
Ge2 0.805 0.390 0.750
Sc1 0.000 0.000 0.000
Sc2 0.000 0.000 0.500
Se1 0.644 0.712 0.045
Se2 0.902 0.195 0.250
Se3 0.644 0.712 0.455
Se4 0.356 0.288 0.545
Se5 0.098 0.805 0.750
Se6 0.356 0.288 0.955

## Properties
The space group is No. 63. The value obtained for the volume is 270 Å³/cell. The calculation puts the energy at -57.00 eV for the cell shown.